Compound: ReAu2C
Source: the Alexandria database
Functional: PBE
Structure: relaxed

Values from the calculation:
Its total magnetic moment is 1.1 μB/f.u. The calculation puts the formation enthalpy at 0 K at 1.283 eV per atom. The calculation puts the volume at 132.49 Å³ per cell.

Unit cell a=8.060 b=8.060 c=6.053 alpha=48.26 beta=48.26 gamma=90.00
Atoms (fractional coordinates):
C  0.250  0.750  0.500
C  0.500  0.500  0.000
Re  0.750  0.250  0.500
Re  0.000  0.000  0.000
Au  0.375  0.489  0.750
Au  0.239  0.625  0.250
Au  0.511  0.125  0.250
Au  0.875  0.761  0.750

Compound: K2AlCl
Source: the Alexandria database
Functional: PBE
Structure: relaxed

Values from the calculation:
As for the polymorph energy (0 for the lowest one): 0 meV per atom. Its total magnetic moment is 0.0 μB/f.u. Its raw formation energy is -0.65 eV/atom. The calculation puts the volume at 125.73 Å³ per cell.

Unit cell a=3.637 b=3.679 c=10.093 alpha=68.62 beta=90.00 gamma=90.00
Atoms (fractional coordinates):
K  0.000  0.455  0.545
K  0.000  0.045  0.955
Cl  0.500  0.750  0.750
Al  0.500  0.250  0.250

Compound: TlInHg4Bi
Source: the Alexandria database
Functional: PBE
Structure: relaxed

Values from the calculation:
Its total magnetic moment is 0.0 μB/f.u. The calculation puts the formation enthalpy at 0 K at 0.036 eV per atom. The calculation puts the volume at 416.15 Å³ per cell.

Unit cell a=8.117 b=8.117 c=9.404 alpha=71.62 beta=71.62 gamma=45.62
Atoms (fractional coordinates):
In  0.889  0.889  0.057
In  0.111  0.111  0.943
Hg  0.449  0.939  0.245
Hg  0.776  0.776  0.476
Hg  0.369  0.369  0.005
Hg  0.224  0.224  0.524
Hg  0.551  0.061  0.755
Hg  0.939  0.449  0.245
Hg  0.061  0.551  0.755
Hg  0.631  0.631  0.995
Tl  0.438  0.438  0.294
Tl  0.562  0.562  0.706
Bi  0.002  0.002  0.672
Bi  0.998  0.998  0.328

Compound: Zn6Pd3Pt
Source: the Alexandria database
Functional: PBE
Structure: relaxed

Values from the calculation:
As for the polymorph energy (0 for the lowest one): 152 meV per atom. Its total magnetic moment is 0.0 μB/f.u. The calculation puts the formation enthalpy at 0 K at -0.301 eV per atom. The calculation puts the volume at 316.33 Å³ per cell.

Unit cell a=6.434 b=6.794 c=7.240 alpha=90.00 beta=88.16 gamma=90.00
Atoms (fractional coordinates):
Pd  0.936  0.331  0.761
Pd  0.436  0.169  0.261
Pd  0.564  0.831  0.739
Pd  0.500  0.500  0.000
Pd  0.064  0.669  0.239
Pd  0.000  0.000  0.500
Zn  0.856  0.659  0.933
Zn  0.728  0.888  0.257
Zn  0.272  0.112  0.743
Zn  0.356  0.841  0.433
Zn  0.228  0.612  0.757
Zn  0.636  0.143  0.941
Zn  0.136  0.357  0.441
Zn  0.864  0.643  0.559
Zn  0.644  0.159  0.567
Zn  0.144  0.341  0.067
Zn  0.364  0.857  0.059
Zn  0.772  0.388  0.243
Pt  0.500  0.500  0.500
Pt  0.000  0.000  0.000

Compound: CsCdIn2
Source: the Alexandria database
Functional: PBE
Structure: relaxed

Values from the calculation:
Its total magnetic moment is 0.0 μB/f.u. The calculation puts the formation enthalpy at 0 K at -0.059 eV per atom. The calculation puts the volume at 159.26 Å³ per cell.

Unit cell a=4.998 b=4.998 c=7.908 alpha=71.58 beta=71.58 gamma=60.00
Atoms (fractional coordinates):
In  0.292  0.292  0.123
In  0.036  0.036  0.893
Cs  0.497  0.497  0.509
Cd  0.675  0.675  0.974

Compound: LiNdGdCd
Source: the Alexandria database
Functional: PBE
Structure: relaxed

Values from the calculation:
Its total magnetic moment is 8.0 μB/f.u. The calculation puts the formation enthalpy at 0 K at -0.137 eV per atom. The calculation puts the volume at 108.91 Å³ per cell.

Unit cell a=5.360 b=5.360 c=5.360 alpha=60.00 beta=60.00 gamma=60.00
Atoms (fractional coordinates):
Gd  0.750  0.750  0.750
Cd  0.000  0.000  0.000
Nd  0.250  0.250  0.250
Li  0.500  0.500  0.500

Compound: Ac3H12Au5
Source: the Alexandria database
Functional: PBE
Structure: relaxed

Values from the calculation:
Its total magnetic moment is 0.0 μB/f.u. The total energy is -71.641 eV/f.u. The calculation puts the volume at 1088.83 Å³ per cell.

Unit cell a=11.225 b=11.225 c=11.225 alpha=109.47 beta=109.47 gamma=109.47
Atoms (fractional coordinates):
Au  0.000  0.500  0.000
Au  0.500  0.500  0.000
Au  0.625  0.750  0.875
Au  0.750  0.625  0.375
Au  0.500  0.000  0.500
Au  0.375  0.250  0.125
Au  0.875  0.625  0.750
Au  0.750  0.125  0.875
Au  0.125  0.750  0.375
Au  0.375  0.125  0.750
Au  0.125  0.375  0.250
Au  0.500  0.000  0.000
Au  0.250  0.375  0.625
Au  0.500  0.500  0.500
Au  0.000  0.000  0.000
Au  0.250  0.875  0.125
Au  0.625  0.875  0.250
Au  0.000  0.000  0.500
Au  0.000  0.500  0.500
Au  0.875  0.250  0.625
H  0.419  0.111  0.602
H  0.602  0.611  0.419
H  0.581  0.889  0.398
H  0.308  0.889  0.991
H  0.817  0.919  0.308
H  0.389  0.398  0.081
H  0.009  0.398  0.817
H  0.509  0.317  0.898
H  0.817  0.898  0.009
H  0.183  0.081  0.692
H  0.692  0.111  0.009
H  0.111  0.692  0.509
H  0.581  0.692  0.683
H  0.081  0.898  0.389
H  0.683  0.192  0.581
H  0.102  0.919  0.111
H  0.419  0.308  0.317
H  0.308  0.419  0.817
H  0.611  0.602  0.919
H  0.317  0.509  0.398
H  0.183  0.102  0.991
H  0.192  0.683  0.081
H  0.683  0.491  0.602
H  0.991  0.602  0.183
H  0.509  0.192  0.111
H  0.317  0.808  0.419
H  0.398  0.389  0.581
H  0.491  0.808  0.889
H  0.808  0.491  0.389
H  0.009  0.611  0.692
H  0.102  0.183  0.491
H  0.389  0.991  0.808
H  0.192  0.509  0.611
H  0.919  0.817  0.808
H  0.602  0.991  0.683
H  0.611  0.009  0.192
H  0.491  0.683  0.102
H  0.991  0.389  0.308
H  0.898  0.081  0.889
H  0.808  0.317  0.919
H  0.898  0.817  0.509
H  0.081  0.183  0.192
H  0.889  0.581  0.898
H  0.919  0.102  0.611
H  0.692  0.581  0.183
H  0.111  0.419  0.102
H  0.398  0.009  0.317
H  0.889  0.308  0.491
Ac  0.750  0.375  0.125
Ac  0.875  0.750  0.125
Ac  0.875  0.125  0.250
Ac  0.125  0.875  0.750
Ac  0.625  0.250  0.375
Ac  0.250  0.125  0.375
Ac  0.250  0.625  0.875
Ac  0.750  0.875  0.625
Ac  0.375  0.750  0.625
Ac  0.375  0.625  0.250
Ac  0.625  0.375  0.750
Ac  0.125  0.250  0.875

Compound: Zr2CdIr
Source: the Alexandria database
Functional: PBE
Structure: relaxed

Values from the calculation:
Its total magnetic moment is 0.0 μB/f.u. The calculation puts the formation enthalpy at 0 K at -0.315 eV per atom. The calculation puts the volume at 80.84 Å³ per cell.

Unit cell a=3.351 b=3.351 c=7.198 alpha=90.00 beta=90.00 gamma=90.00
Atoms (fractional coordinates):
Zr  0.000  0.000  0.961
Zr  0.500  0.500  0.246
Cd  0.000  0.000  0.525
Ir  0.500  0.500  0.768

Compound: Ho5ErCd3
Source: the Alexandria database
Functional: PBE
Structure: relaxed

Values from the calculation:
Its total magnetic moment is 0.0 μB/f.u. The calculation puts the formation enthalpy at 0 K at -0.190 eV per atom. The calculation puts the volume at 496.66 Å³ per cell.

Unit cell a=6.888 b=9.125 c=9.125 alpha=120.00 beta=90.00 gamma=90.00
Atoms (fractional coordinates):
Ho  0.250  0.000  0.667
Ho  0.000  0.333  0.667
Ho  0.500  0.333  0.667
Ho  0.500  0.667  0.333
Ho  0.000  0.667  0.333
Ho  0.250  0.333  0.333
Ho  0.750  0.333  0.000
Ho  0.750  0.000  0.333
Ho  0.250  0.667  0.000
Ho  0.750  0.667  0.667
Cd  0.750  0.000  0.667
Cd  0.250  0.333  0.000
Cd  0.250  0.667  0.667
Cd  0.750  0.667  0.000
Cd  0.250  0.000  0.333
Cd  0.750  0.333  0.333
Er  0.500  0.000  0.000
Er  0.000  0.000  0.000

Compound: MnZnTe
Source: the Alexandria database
Functional: PBE
Structure: relaxed

Values from the calculation:
As for the polymorph energy (0 for the lowest one): 319 meV per atom. Its total magnetic moment is 4.7 μB/f.u. Its raw formation energy is 0.22 eV/atom. The calculation puts the volume at 67.77 Å³ per cell.

Unit cell a=4.030 b=4.030 c=4.818 alpha=90.00 beta=90.00 gamma=120.00
Atoms (fractional coordinates):
Te  0.667  0.333  0.319
Mn  0.000  0.000  0.995
Zn  0.333  0.667  0.686

Compound: Ho6Ge2TeP3
Source: the Alexandria database
Functional: PBE
Structure: relaxed

Values from the calculation:
Its total magnetic moment is 0.0 μB/f.u. Its raw formation energy is -1.28 eV/atom. The calculation puts the volume at 290.79 Å³ per cell.

Unit cell a=4.003 b=8.361 c=9.209 alpha=104.50 beta=102.55 gamma=90.00
Atoms (fractional coordinates):
P  0.500  0.500  0.000
P  0.836  0.166  0.673
P  0.164  0.834  0.327
Ge  0.833  0.665  0.666
Ge  0.167  0.335  0.334
Te  0.500  0.000  0.000
Ho  0.999  0.272  0.998
Ho  0.675  0.080  0.349
Ho  0.335  0.407  0.671
Ho  0.665  0.593  0.329
Ho  0.001  0.728  0.002
Ho  0.325  0.920  0.651

Compound: Ac2BeGe2
Source: the Alexandria database
Functional: PBE
Structure: relaxed

Values from the calculation:
As for the polymorph energy (0 for the lowest one): 82 meV per atom. Its total magnetic moment is 0.0 μB/f.u. The calculation puts the formation enthalpy at 0 K at -0.484 eV per atom. The calculation puts the volume at 283.94 Å³ per cell.

Unit cell a=4.238 b=7.781 c=8.867 alpha=90.00 beta=103.83 gamma=90.00
Atoms (fractional coordinates):
Ac  0.781  0.382  0.561
Ac  0.219  0.882  0.439
Ac  0.972  0.713  0.944
Ac  0.028  0.213  0.056
Ge  0.578  0.916  0.157
Ge  0.154  0.506  0.308
Ge  0.422  0.416  0.843
Ge  0.846  0.006  0.692
Be  0.615  0.617  0.231
Be  0.385  0.117  0.769

Compound: Li6GePb
Source: the Alexandria database
Functional: PBE
Structure: relaxed

Values from the calculation:
As for the polymorph energy (0 for the lowest one): 0 meV per atom. Its total magnetic moment is 0.0 μB/f.u. The calculation puts the formation enthalpy at 0 K at -0.313 eV per atom. The calculation puts the volume at 135.27 Å³ per cell.

Unit cell a=4.579 b=4.579 c=7.905 alpha=73.17 beta=73.17 gamma=60.00
Atoms (fractional coordinates):
Ge  0.000  0.000  0.000
Li  0.120  0.120  0.641
Li  0.880  0.880  0.359
Li  0.252  0.252  0.245
Li  0.630  0.630  0.110
Li  0.748  0.748  0.755
Li  0.370  0.370  0.890
Pb  0.500  0.500  0.500

Compound: Pr2Ho3Se4
Source: the Alexandria database
Functional: PBE
Structure: relaxed

Values from the calculation:
Its total magnetic moment is 0.0 μB/f.u. Its raw formation energy is -1.55 eV/atom. The calculation puts the volume at 240.52 Å³ per cell.

Unit cell a=4.040 b=7.033 c=9.269 alpha=74.81 beta=77.41 gamma=73.31
Atoms (fractional coordinates):
Se  0.606  0.696  0.091
Se  0.195  0.901  0.709
Se  0.394  0.304  0.909
Se  0.805  0.099  0.291
Ho  0.798  0.605  0.798
Ho  0.000  0.000  0.000
Ho  0.202  0.395  0.202
Pr  0.594  0.219  0.592
Pr  0.406  0.781  0.408

Compound: Ac2PaSe6
Source: the Alexandria database
Functional: PBE
Structure: relaxed

Values from the calculation:
As for the polymorph energy (0 for the lowest one): 46 meV per atom. Its total magnetic moment is 0.0 μB/f.u. Its raw formation energy is -1.59 eV/atom. The calculation puts the volume at 565.32 Å³ per cell.

Unit cell a=7.171 b=8.225 c=9.631 alpha=90.00 beta=95.59 gamma=90.00
Atoms (fractional coordinates):
Se  0.156  0.302  0.443
Se  0.322  0.835  0.441
Se  0.137  0.030  0.773
Se  0.344  0.802  0.057
Se  0.863  0.970  0.227
Se  0.678  0.165  0.559
Se  0.363  0.530  0.727
Se  0.822  0.665  0.941
Se  0.656  0.198  0.943
Se  0.637  0.470  0.273
Se  0.178  0.335  0.059
Se  0.844  0.698  0.557
Pa  0.000  0.000  0.500
Pa  0.500  0.500  0.000
Ac  0.540  0.888  0.746
Ac  0.460  0.112  0.254
Ac  0.040  0.612  0.246
Ac  0.960  0.388  0.754

Compound: Ac3La5Tm2
Source: the Alexandria database
Functional: PBE
Structure: relaxed

Values from the calculation:
Its total magnetic moment is 0.0 μB/f.u. The calculation puts the formation enthalpy at 0 K at 0.304 eV per atom. The calculation puts the volume at 804.18 Å³ per cell.

Unit cell a=11.182 b=10.001 c=10.391 alpha=118.76 beta=122.55 gamma=90.00
Atoms (fractional coordinates):
Ac  0.627  0.373  0.254
Ac  0.750  0.000  0.000
Ac  0.873  0.119  0.746
Ac  0.373  0.627  0.746
Ac  0.127  0.881  0.254
Ac  0.250  0.000  0.000
Tm  0.635  0.042  0.270
Tm  0.865  0.772  0.730
Tm  0.135  0.228  0.270
Tm  0.365  0.958  0.730
La  0.890  0.494  0.780
La  0.110  0.506  0.220
La  0.004  0.254  0.508
La  0.610  0.714  0.220
La  0.750  0.500  0.000
La  0.250  0.500  0.000
La  0.504  0.254  0.508
La  0.496  0.746  0.492
La  0.390  0.286  0.780
La  0.996  0.746  0.492

Compound: Ac2Sn6Pt3
Source: the Alexandria database
Functional: PBE
Structure: relaxed

Values from the calculation:
Its total magnetic moment is 0.0 μB/f.u. The calculation puts the formation enthalpy at 0 K at -0.719 eV per atom. The calculation puts the volume at 284.13 Å³ per cell.

Unit cell a=4.711 b=8.345 c=8.345 alpha=120.00 beta=90.00 gamma=90.00
Atoms (fractional coordinates):
Ac  0.000  0.667  0.333
Ac  0.000  0.333  0.667
Sn  0.000  0.206  0.206
Sn  0.000  0.794  0.000
Sn  0.500  0.670  0.670
Sn  0.000  0.000  0.794
Sn  0.500  0.330  0.000
Sn  0.500  0.000  0.330
Pt  0.500  0.350  0.350
Pt  0.500  0.650  0.000
Pt  0.500  0.000  0.650

Compound: Np4Re7Si6
Source: the Alexandria database
Functional: PBE
Structure: relaxed

Values from the calculation:
Its total magnetic moment is 7.3 μB/f.u. Its raw formation energy is -0.32 eV/atom. The calculation puts the volume at 278.82 Å³ per cell.

Unit cell a=7.128 b=7.128 c=7.128 alpha=109.47 beta=109.47 gamma=109.47
Atoms (fractional coordinates):
Si  0.308  0.308  0.000
Si  0.308  0.000  0.308
Si  0.000  0.692  0.692
Si  0.692  0.692  0.000
Si  0.692  0.000  0.692
Si  0.000  0.308  0.308
Np  0.500  0.500  0.500
Np  0.500  0.000  0.000
Np  0.000  0.000  0.500
Np  0.000  0.500  0.000
Re  0.750  0.250  0.500
Re  0.500  0.750  0.250
Re  0.750  0.500  0.250
Re  0.250  0.500  0.750
Re  0.000  0.000  0.000
Re  0.500  0.250  0.750
Re  0.250  0.750  0.500

Compound: Mn2SnHRh
Source: the Alexandria database
Functional: PBE
Structure: relaxed

Values from the calculation:
As for the polymorph energy (0 for the lowest one): 172 meV per atom. Its total magnetic moment is 6.1 μB/f.u. The calculation puts the volume at 63.47 Å³ per cell.

Unit cell a=3.786 b=3.786 c=4.429 alpha=90.00 beta=90.00 gamma=90.00
Atoms (fractional coordinates):
Sn  0.000  0.000  0.500
Mn  0.000  0.500  0.000
Mn  0.500  0.000  0.000
H  0.000  0.000  0.000
Rh  0.500  0.500  0.500